[1]
First-principles (GGA-PBE) data for a relaxed structure of ZrHg2Os, as listed in the Alexandria database.

a b c (Å): 3.0135 3.0135 29.5743
angles (deg): 90.00 90.00 120.00
Sites, in units of the cell vectors:
Zr 0.0000 0.0000 0.0000
Zr 0.3333 0.6667 0.6667
Zr 0.6667 0.3333 0.3333
Hg 0.0000 0.0000 0.2459
Hg 0.0000 0.0000 0.7541
Hg 0.3333 0.6667 0.4208
Hg 0.3333 0.6667 0.9125
Hg 0.6667 0.3333 0.0875
Hg 0.6667 0.3333 0.5792
Os 0.0000 0.0000 0.5000
Os 0.3333 0.6667 0.1667
Os 0.6667 0.3333 0.8333

formation energy from the elements = 0.48 eV per atom
crystal system = trigonal
density = 14.6 Mg/m³
energy relative to the lowest polymorph listed for this composition = 397 meV per atom
volume = 77.5 Å³/f.u.

---

[2]
First-principles (GGA-PBE) data for a relaxed structure of NaGaPb2Au2, as listed in the Alexandria database.

a b c (Å): 4.6083 8.4335 7.4570
angles (deg): 90.00 90.00 90.00
Sites, in units of the cell vectors:
Na 0.0000 0.0545 0.0000
Na 0.0000 0.9455 0.5000
Ga 0.5000 0.1743 0.6548
Ga 0.5000 0.8257 0.1548
Pb 0.0000 0.3353 0.3266
Pb 0.0000 0.6647 0.8266
Pb 0.5000 0.4119 0.9901
Pb 0.5000 0.5881 0.4901
Au 0.0000 0.3139 0.7215
Au 0.0000 0.6861 0.2215
Au 0.5000 0.1125 0.2936
Au 0.5000 0.8875 0.7936

formation energy from the elements = -0.21 eV per atom
crystal system = orthorhombic
density = 10.3 Mg/m³
volume = 144.9 Å³/f.u.

---

[3]
First-principles (GGA-PBE) data for a relaxed structure of BeCo2Cu, as listed in the Alexandria database.

a b c (Å): 2.5578 2.5578 6.2166
angles (deg): 90.00 90.00 90.00
Sites, in units of the cell vectors:
Be 0.0000 0.0000 0.0000
Co 0.0000 0.0000 0.4692
Co 0.5000 0.5000 0.2141
Cu 0.5000 0.5000 0.7637

formation energy from the elements = -0.06 eV per atom
crystal system = tetragonal
density = 7.8 Mg/m³
volume = 40.7 Å³/f.u.

---

[4]
First-principles (GGA-PBE) data for a relaxed structure of CoTeW2, as listed in the Alexandria database.

a b c (Å): 5.4772 5.4772 12.0877
angles (deg): 90.00 90.00 90.00
Sites, in units of the cell vectors:
Co 0.0000 0.0000 0.0000
Co 0.0000 0.5000 0.2500
Co 0.5000 0.0000 0.7500
Co 0.5000 0.5000 0.5000
Te 0.0000 0.0000 0.5000
Te 0.0000 0.5000 0.7500
Te 0.5000 0.0000 0.2500
Te 0.5000 0.5000 0.0000
W 0.1774 0.2500 0.1250
W 0.2500 0.6774 0.3750
W 0.2500 0.8226 0.8750
W 0.3226 0.2500 0.6250
W 0.6774 0.7500 0.6250
W 0.7500 0.1774 0.8750
W 0.7500 0.3226 0.3750
W 0.8226 0.7500 0.1250

raw formation energy = 1.269 eV per atom
crystal system = tetragonal
density = 10.2 Mg/m³
volume = 90.7 Å³/f.u.

---

[5]
First-principles (GGA-PBE) data for a relaxed structure of Pm7PrSm12, as listed in the Alexandria database.

a b c (Å): 9.9843 9.9843 9.9843
angles (deg): 109.47 109.47 109.47
Sites, in units of the cell vectors:
Pm 0.0000 0.0000 0.5000
Pm 0.0000 0.5000 0.0000
Pm 0.0000 0.5000 0.5000
Pm 0.5000 0.0000 0.0000
Pm 0.5000 0.0000 0.5000
Pm 0.5000 0.5000 0.0000
Pm 0.5000 0.5000 0.5000
Pr 0.0000 0.0000 0.0000
Sm 0.0000 0.2510 0.7490
Sm 0.0000 0.7490 0.2510
Sm 0.2510 0.0000 0.7490
Sm 0.2510 0.2510 0.5019
Sm 0.2510 0.5019 0.2510
Sm 0.2510 0.7490 0.0000
Sm 0.4981 0.7490 0.7490
Sm 0.5019 0.2510 0.2510
Sm 0.7490 0.0000 0.2510
Sm 0.7490 0.2510 0.0000
Sm 0.7490 0.4981 0.7490
Sm 0.7490 0.7490 0.4981

formation energy from the elements = 0.60 eV per atom
crystal system = cubic
density = 6.4 Mg/m³
energy relative to the lowest polymorph listed for this composition = 340 meV per atom
volume = 766.2 Å³/f.u.

---

[6]
First-principles (GGA-PBE) data for a relaxed structure of BaAcP, as listed in the Alexandria database.

a b c (Å): 7.4950 7.4950 7.4950
angles (deg): 90.00 90.00 90.00
Sites, in units of the cell vectors:
Ba 0.0000 0.0000 0.0000
Ba 0.0000 0.5000 0.5000
Ba 0.5000 0.0000 0.5000
Ba 0.5000 0.5000 0.0000
Ac 0.0000 0.0000 0.5000
Ac 0.0000 0.5000 0.0000
Ac 0.5000 0.0000 0.0000
Ac 0.5000 0.5000 0.5000
P 0.2500 0.2500 0.7500
P 0.2500 0.7500 0.2500
P 0.7500 0.2500 0.2500
P 0.7500 0.7500 0.7500

formation energy from the elements = -0.65 eV per atom
crystal system = cubic
density = 6.2 Mg/m³
energy relative to the lowest polymorph listed for this composition = 160 meV per atom
volume = 105.3 Å³/f.u.

---

[7]
First-principles (GGA-PBE) data for a relaxed structure of CeNd2Rh, as listed in the Alexandria database.

a b c (Å): 3.8985 3.8985 28.6122
angles (deg): 90.00 90.00 120.00
Sites, in units of the cell vectors:
Ce 0.0000 0.0000 0.0000
Ce 0.3333 0.6667 0.6667
Ce 0.6667 0.3333 0.3333
Nd 0.0000 0.0000 0.5588
Nd 0.0000 0.0000 0.7726
Nd 0.3333 0.6667 0.2254
Nd 0.3333 0.6667 0.4393
Nd 0.6667 0.3333 0.1059
Nd 0.6667 0.3333 0.8921
Rh 0.0000 0.0000 0.1653
Rh 0.3333 0.6667 0.8320
Rh 0.6667 0.3333 0.4987

formation energy from the elements = -0.18 eV per atom
crystal system = trigonal
density = 7.0 Mg/m³
energy relative to the lowest polymorph listed for this composition = 217 meV per atom
volume = 125.5 Å³/f.u.

---

[8]
First-principles (GGA-PBE) data for a relaxed structure of CeZrSc14, as listed in the Alexandria database.

a b c (Å): 6.5376 6.5376 9.2050
angles (deg): 90.00 90.00 90.06
Sites, in units of the cell vectors:
Ce 0.0000 0.0000 0.0000
Zr 0.5000 0.5000 0.0000
Sc 0.0000 0.0000 0.5000
Sc 0.0000 0.5000 0.0000
Sc 0.0000 0.5000 0.5000
Sc 0.2534 0.2534 0.2474
Sc 0.2534 0.2534 0.7526
Sc 0.2536 0.7464 0.2473
Sc 0.2536 0.7464 0.7527
Sc 0.5000 0.0000 0.0000
Sc 0.5000 0.0000 0.5000
Sc 0.5000 0.5000 0.5000
Sc 0.7464 0.2536 0.2473
Sc 0.7464 0.2536 0.7527
Sc 0.7466 0.7466 0.2474
Sc 0.7466 0.7466 0.7526

formation energy from the elements = 0.05 eV per atom
crystal system = orthorhombic
density = 3.6 Mg/m³
volume = 393.4 Å³/f.u.

---

What is the volume in the sixth record? 105.3 Å³/f.u.

---

The highest volume belongs to which entry? Pm7PrSm12

---

Which of these has the highest volume? Pm7PrSm12

---

Please write out number 1 again, unchanged.
First-principles (GGA-PBE) data for a relaxed structure of ZrHg2Os, as listed in the Alexandria database.

a b c (Å): 3.0135 3.0135 29.5743
angles (deg): 90.00 90.00 120.00
Sites, in units of the cell vectors:
Zr 0.0000 0.0000 0.0000
Zr 0.3333 0.6667 0.6667
Zr 0.6667 0.3333 0.3333
Hg 0.0000 0.0000 0.2459
Hg 0.0000 0.0000 0.7541
Hg 0.3333 0.6667 0.4208
Hg 0.3333 0.6667 0.9125
Hg 0.6667 0.3333 0.0875
Hg 0.6667 0.3333 0.5792
Os 0.0000 0.0000 0.5000
Os 0.3333 0.6667 0.1667
Os 0.6667 0.3333 0.8333

formation energy from the elements = 0.48 eV per atom
crystal system = trigonal
density = 14.6 Mg/m³
energy relative to the lowest polymorph listed for this composition = 397 meV per atom
volume = 77.5 Å³/f.u.